A relaxed structure of Zr2WF. Source: Alexandria via LeMat-Bulk, functional PBE+U.

a b c (Å): 6.8776 6.8776 6.5301
angles (deg): 90.00 90.00 90.00
Fractional coordinates of all 16 atoms:
1 Zr 0.1737 0.2500 0.1250
2 Zr 0.2500 0.6737 0.3750
3 Zr 0.2500 0.8263 0.8750
4 Zr 0.3263 0.2500 0.6250
5 Zr 0.6737 0.7500 0.6250
6 Zr 0.7500 0.1737 0.8750
7 Zr 0.7500 0.3263 0.3750
8 Zr 0.8263 0.7500 0.1250
9 W 0.0000 0.0000 0.5000
10 W 0.0000 0.5000 0.7500
11 W 0.5000 0.0000 0.2500
12 W 0.5000 0.5000 0.0000
13 F 0.0000 0.0000 0.0000
14 F 0.0000 0.5000 0.2500
15 F 0.5000 0.0000 0.7500
16 F 0.5000 0.5000 0.5000

Summary:
calculated total energy	-108.9	eV/cell
distance to the lowest polymorph of the same formula	0.0	meV/atom